Computed, not measured: crystalline TiSi2PdF at its relaxed geometry at the PBE-GGA level of DFT.

Computed properties:
uncorrected formation energy	12.34	kcal/mol of atoms
crystal system	tetragonal
N(E_F)	3.6	states/eV per cell
magnetization	0.00	μB/cell
calculated total energy	-4.6260	eV/atom

Cell lengths 4.8414, 4.8414, 4.6294 Å; angles 90.00, 90.00, 90.00 degrees
Atoms (fractional coordinates):
Ti (0.0000, 0.0000, 0.0000)
Si (0.0000, 0.5000, 0.0000)
Si (0.5000, 0.0000, 0.0000)
Pd (0.0000, 0.0000, 0.5000)
F (0.5000, 0.5000, 0.5000)

=====

Computed, not measured: crystalline SmAlTl at its relaxed geometry at the PBE-GGA level of DFT.

Computed properties:
crystal system	trigonal
N(E_F)	0.5	states/eV per cell
magnetization	0.00	μB/cell
calculated total energy	-3.9183	eV/atom

Cell lengths 4.8118, 4.8118, 3.6750 Å; angles 90.00, 90.00, 120.00 degrees
Atoms (fractional coordinates):
Sm (0.0000, 0.0000, 0.0000)
Al (0.6667, 0.3333, 0.5012)
Tl (0.3333, 0.6667, 0.4991)

=====

Computed, not measured: crystalline BeHgIr at its relaxed geometry at the PBE-GGA level of DFT.

Computed properties:
crystal system	orthorhombic
N(E_F)	2.7	states/eV per cell
magnetization	0.00	μB/cell
calculated total energy	-4.0497	eV/atom

Cell lengths 2.9394, 4.9388, 12.7076 Å; angles 90.00, 90.00, 90.00 degrees
Atoms (fractional coordinates):
Be (0.0000, 0.0000, 0.0000)
Be (0.0000, 0.5000, 0.5000)
Be (0.5000, 0.0000, 0.5000)
Be (0.5000, 0.5000, 0.0000)
Hg (0.0000, 0.0000, 0.3283)
Hg (0.0000, 0.5000, 0.8283)
Hg (0.5000, 0.0000, 0.8283)
Hg (0.5000, 0.5000, 0.3283)
Ir (0.0000, 0.0000, 0.6280)
Ir (0.0000, 0.5000, 0.1280)
Ir (0.5000, 0.0000, 0.1280)
Ir (0.5000, 0.5000, 0.6280)

=====

What did the first record say?
Computed, not measured: crystalline TiSi2PdF at its relaxed geometry at the PBE-GGA level of DFT.

Computed properties:
uncorrected formation energy	12.34	kcal/mol of atoms
crystal system	tetragonal
N(E_F)	3.6	states/eV per cell
magnetization	0.00	μB/cell
calculated total energy	-4.6260	eV/atom

Cell lengths 4.8414, 4.8414, 4.6294 Å; angles 90.00, 90.00, 90.00 degrees
Atoms (fractional coordinates):
Ti (0.0000, 0.0000, 0.0000)
Si (0.0000, 0.5000, 0.0000)
Si (0.5000, 0.0000, 0.0000)
Pd (0.0000, 0.0000, 0.5000)
F (0.5000, 0.5000, 0.5000)

=====

Q: Which of these has the lowest N(E_F)?
A: SmAlTl

=====

What did the second record say?
Computed, not measured: crystalline SmAlTl at its relaxed geometry at the PBE-GGA level of DFT.

Computed properties:
crystal system	trigonal
N(E_F)	0.5	states/eV per cell
magnetization	0.00	μB/cell
calculated total energy	-3.9183	eV/atom

Cell lengths 4.8118, 4.8118, 3.6750 Å; angles 90.00, 90.00, 120.00 degrees
Atoms (fractional coordinates):
Sm (0.0000, 0.0000, 0.0000)
Al (0.6667, 0.3333, 0.5012)
Tl (0.3333, 0.6667, 0.4991)